[1]
A plane-wave DFT calculation with GGA-PBE was carried out for an optimized crystal structure of NaMgNb.

Cell: 3.6859 3.6859 11.6338 Å, 90.00 90.00 90.00°
Fractional coordinates of all 6 atoms:
Na 0.5000 0.0000 0.7587
Nb 0.5000 0.0000 0.0393
Mg 0.5000 0.5000 0.5000
Na 0.0000 0.5000 0.2413
Mg 0.0000 0.0000 0.5000
Nb 0.0000 0.5000 0.9607

Calculated values
Distance to the lowest polymorph of the same formula, meV/atom: 507
Spin magnetization, μB per formula unit: 0.000
Space group: No. 129
DOS(E_F), states/eV/atom: 0.765

---

[2]
A plane-wave DFT calculation with GGA-PBE was carried out for an optimized crystal structure of LuMgAg2.

Cell: 3.4608 3.4608 6.9202 Å, 90.00 90.00 90.00°
Fractional coordinates of all 4 atoms:
Ag 0.0000 0.0000 0.7641
Lu 0.5000 0.5000 0.5000
Ag 0.0000 0.0000 0.2359
Mg 0.5000 0.5000 0.0000

Calculated values
Electronic total energy, eV per atom: -3.231
Spin magnetization, μB per formula unit: 0.000
Space group: No. 123
DOS(E_F), states/eV/atom: 0.579

---

[3]
A plane-wave DFT calculation with GGA-PBE was carried out for an optimized crystal structure of Ga2OsO2.

Cell: 4.3386 4.3386 4.5984 Å, 61.85 61.85 90.00°
Fractional coordinates of all 5 atoms:
Ga 0.7500 0.2500 0.5000
Os 0.0000 0.0000 0.0000
Ga 0.2500 0.7500 0.5000
O 0.6980 0.6980 0.6041
O 0.3020 0.3020 0.3959

Calculated values
Formation energy from raw total energies, eV/atom: -0.0843
Distance to the lowest polymorph of the same formula, meV/atom: 110
Spin magnetization, μB per formula unit: 0.000
Space group: No. 139
DOS(E_F), states/eV/atom: 0.666

---

How do the records compare in calculated density? In the order shown, they have 2.946 8.315 9.315 Mg/m³.